Entry 1:
# Zn3HPt

A geometry-optimized Zn3HPt structure (PBE-GGA, the Alexandria database).

```
Zn3HPt
1.0
4.8782 0.0000 0.0000
0.0000 4.8782 0.0000
0.0000 0.0000 4.8782
H Pt Zn
1 1 3
Cartesian
2.4391 2.4391 2.4391
0.0000 0.0000 0.0000
0.0000 0.0000 2.4391
0.0000 2.4391 0.0000
2.4391 0.0000 0.0000
```

Properties
DFT total energy	-2.257	eV/atom
spin magnetization	0.17	μB per atom
space group	No. 221
V	116.1	Å³/cell

---

Entry 2:
# TbHoPuTh

A geometry-optimized TbHoPuTh structure (PBE-GGA, the Alexandria database).

```
TbHoPuTh
1.0
-3.4776 3.6464 -2.3730
-0.0612 0.5913 -5.5378
-4.3603 -1.8228 -2.9472
Th Ho Pu Tb
1 1 1 1
Cartesian
0.0000 0.0000 0.0000
-5.9243 1.8112 -8.1435
-1.9748 0.6037 -2.7145
-3.9496 1.2074 -5.4290
```

Properties
DFT total energy	-7.534	eV/atom
spin magnetization	2.03	μB per atom
space group	No. 216
V	122.2	Å³/cell

---

Entry 3:
# BeZnSb

A geometry-optimized BeZnSb structure (PBE-GGA, the Alexandria database).

```
BeZnSb
1.0
-1.7108 4.1046 -0.1117
-2.3544 1.3330 -3.5309
-4.3953 0.5880 0.3507
Zn Be Sb
1 1 1
Cartesian
0.0000 0.0000 0.0000
-4.2302 3.0128 -1.6460
-6.3453 4.5192 -2.4690
```

Properties
spin magnetization	0.00	μB per atom
space group	No. 216
V	62.2	Å³/cell
energy relative to the elements, uncorrected	0.482	eV per atom

---

Entry 4:
# Zr4Pa3NbN8

A geometry-optimized Zr4Pa3NbN8 structure (PBE-GGA, the Alexandria database).

```
Zr4Pa3NbN8
1.0
6.6112 0.0000 0.0000
0.0000 6.7506 0.0949
-3.3056 -3.3031 4.6766
N Pa Zr Nb
8 3 4 1
Cartesian
1.6790 -1.6552 4.6537
0.0000 3.4774 2.4191
1.6265 5.1027 0.1179
0.0000 -0.0535 2.2988
-1.6790 -1.6552 4.6537
3.3056 -0.0299 2.3525
4.9846 5.1027 0.1179
3.3056 3.5011 2.4728
1.6528 1.7238 2.3858
-1.6528 1.7238 2.3858
3.3056 3.3753 0.0475
1.6528 -1.6515 2.3383
3.3056 0.0000 0.0000
0.0000 0.0000 0.0000
-1.6528 -1.6515 2.3383
0.0000 3.3753 0.0475
```

Properties
spin magnetization	0.00	μB per atom
space group	No. 166
V	210.8	Å³/cell
energy relative to the elements, uncorrected	-1.583	eV per atom

---

Entry 5:
# Y2Fe2Si

A geometry-optimized Y2Fe2Si structure (PBE-GGA, the Alexandria database).

```
Y2Fe2Si
1.0
6.3633 0.0000 0.0000
0.0000 6.3633 0.0000
0.0000 0.0000 4.3704
Si Y Fe
2 4 4
Cartesian
0.0000 0.0000 0.0000
3.1816 3.1816 0.0000
4.3436 5.2013 2.1852
2.0196 1.1620 2.1852
5.2013 2.0196 2.1852
1.1620 4.3436 2.1852
0.7691 2.4125 0.0000
2.4125 5.5941 0.0000
3.9508 0.7691 0.0000
5.5941 3.9508 0.0000
```

Properties
spin magnetization	0.00	μB per atom
space group	No. 127
V	177.0	Å³/cell
energy relative to the elements, uncorrected	-0.180	eV per atom

---

Entry 6:
# La3NdC8

A geometry-optimized La3NdC8 structure (PBE-GGA, the Alexandria database).

```
La3NdC8
1.0
7.1822 0.0000 0.9997
-3.7166 3.9876 3.1237
-0.2510 0.0000 7.2471
C La Nd
8 3 1
Cartesian
2.8354 0.0000 1.1097
-1.9858 2.0275 8.7054
-0.9927 1.9613 7.8707
5.3339 0.0000 6.0966
6.3269 0.0000 5.2621
1.7308 1.9601 5.5817
1.8423 0.0000 1.9444
2.7239 2.0262 4.7470
0.4937 1.9940 3.1034
3.9593 1.9935 7.2268
4.0856 0.0000 3.6023
0.3685 0.0000 6.7266
```

Properties
DFT total energy	-7.871	eV/atom
spin magnetization	0.00	μB per atom
space group	No. 69
V	208.6	Å³/cell

---

Entry 7:
# Cs3Tl4Rh

A geometry-optimized Cs3Tl4Rh structure (PBE-GGA, the Alexandria database).

```
Cs3Tl4Rh
1.0
-4.5258 -4.6925 4.2651
7.2375 2.1301 1.9429
-5.5354 5.4638 0.4481
Tl Cs Rh
4 3 1
Cartesian
-1.6686 2.4147 1.7256
3.1998 3.0814 1.7960
-0.9743 5.5122 2.7008
-2.5595 -0.4456 3.2373
1.1553 0.6835 4.0026
-5.2392 2.3145 3.2439
-9.2079 0.7058 4.3135
0.6199 3.8147 1.3038
```

Properties
DFT total energy	-2.411	eV/atom
spin magnetization	0.00	μB per atom
space group	No. 44
V	328.4	Å³/cell

---

Entry 8:
# La4CuNCl2

A geometry-optimized La4CuNCl2 structure (PBE-GGA, the Alexandria database).

```
La4CuNCl2
1.0
-0.3204 -1.2243 3.6765
6.8830 -1.3573 0.1479
-1.0819 7.2913 2.3339
La N Cl Cu
4 1 2 1
Cartesian
4.6152 0.4996 0.5686
1.4560 0.5493 2.3659
4.0246 4.1603 3.7923
1.1859 5.4344 1.9131
3.2813 -1.2908 1.9122
2.9005 2.9670 1.2409
-0.7012 3.0335 3.0052
0.0000 0.0000 0.0000
```

Properties
spin magnetization	0.00	μB per atom
space group	No. 10
V	200.3	Å³/cell
energy relative to the elements, uncorrected	-1.161	eV per atom

---

Entry 9:
# Mn2AgW

A geometry-optimized Mn2AgW structure (PBE-GGA, the Alexandria database).

```
Mn2AgW
1.0
-1.5986 3.5843 3.0450
-3.5711 3.2387 1.1969
-2.6880 -1.9100 3.2261
Mn Ag W
2 1 1
Cartesian
-2.1680 1.3680 2.0582
-7.6679 4.7761 7.2910
-5.9443 3.4757 5.6945
-3.8640 2.6628 3.6261
```

Properties
DFT total energy	-8.034	eV/atom
spin magnetization	0.71	μB per atom
space group	No. 8
V	56.7	Å³/cell

---

Entry 10:
# LiZrSCl2

A geometry-optimized LiZrSCl2 structure (PBE-GGA, the Alexandria database).

```
LiZrSCl2
1.0
-4.6184 1.9702 0.7391
-2.0440 -4.6238 -0.4469
0.4936 -0.6955 4.9383
Cl Li S Zr
2 1 1 1
Cartesian
-1.0220 -2.3119 -0.2235
-2.3092 0.9851 0.3695
-3.0844 -1.6746 2.6152
0.2468 -0.3478 2.4691
0.0000 0.0000 0.0000
```

Properties
spin magnetization	0.00	μB per atom
space group	No. 123
V	129.1	Å³/cell
energy relative to the elements, uncorrected	-1.249	eV per atom

---

Entry 11:
# ZrZn3C

A geometry-optimized ZrZn3C structure (PBE-GGA, the Alexandria database).

```
ZrZn3C
1.0
5.3667 0.0000 0.0000
0.0000 5.3667 0.0000
0.0000 0.0000 5.3667
Zn C Zr
3 1 1
Cartesian
2.6833 0.0000 0.0000
0.0000 0.0000 2.6833
0.0000 2.6833 0.0000
2.6833 2.6833 2.6833
0.0000 0.0000 0.0000
```

Properties
DFT total energy	-2.083	eV/atom
spin magnetization	0.25	μB per atom
space group	No. 221
V	154.6	Å³/cell

---

Entry 12:
# ZrCo2Pt

A geometry-optimized ZrCo2Pt structure (PBE-GGA, the Alexandria database).

```
ZrCo2Pt
1.0
-5.0706 0.6808 -7.3461
-2.6622 -0.1304 -8.5461
-4.4297 -2.0510 -7.5041
Co Pt Zr
2 1 1
Cartesian
-12.0410 -1.4856 -23.1624
-3.1131 -0.3841 -5.9884
-6.1643 -0.7606 -11.8579
-9.0881 -1.1213 -17.4822
```

Properties
DFT total energy	-7.144	eV/atom
spin magnetization	0.86	μB per atom
space group	No. 160
V	60.2	Å³/cell

---

Entry 13:
# CaSi2PbN

A geometry-optimized CaSi2PbN structure (PBE-GGA, the Alexandria database).

```
CaSi2PbN
1.0
-1.6982 -4.2111 2.3112
1.1449 -3.2364 -5.0555
4.7078 -0.9719 1.6883
Si Pb N Ca
2 1 1 1
Cartesian
2.3539 -0.4859 0.8442
-0.8491 -2.1055 1.1556
0.0000 0.0000 0.0000
2.0773 -4.2097 -0.5280
0.5724 -1.6182 -2.5277
```

Properties
spin magnetization	0.00	μB per atom
space group	No. 123
V	158.6	Å³/cell
energy relative to the elements, uncorrected	1.913	eV per atom

---

Entry 14:
# CoPd3

A geometry-optimized CoPd3 structure (PBE-GGA, the Alexandria database).

```
CoPd3
1.0
-0.5560 -0.8888 -2.5429
4.3055 0.3463 -1.0624
0.7076 -4.4750 1.4094
Pd Co
3 1
Cartesian
2.3828 -1.2817 -0.0730
0.0776 -2.6928 -0.5633
2.4667 -4.0147 -0.6237
0.0018 -0.0112 0.0035
```

Properties
DFT total energy	-5.609	eV/atom
spin magnetization	0.77	μB per atom
space group	No. 25
V	58.1	Å³/cell

---

Entry 15:
# Zr8AgPd3

A geometry-optimized Zr8AgPd3 structure (PBE-GGA, the Alexandria database).

```
Zr8AgPd3
1.0
3.3204 0.0000 0.0000
0.0000 3.3204 0.0000
0.0000 0.0000 22.4273
Ag Zr Pd
1 8 3
Cartesian
0.0000 0.0000 0.0000
0.0000 0.0000 7.4404
0.0000 0.0000 3.9849
1.6602 1.6602 12.9356
1.6602 1.6602 20.4974
0.0000 0.0000 14.9869
1.6602 1.6602 1.9299
1.6602 1.6602 9.4917
0.0000 0.0000 18.4423
0.0000 0.0000 11.2136
1.6602 1.6602 16.7171
1.6602 1.6602 5.7101
```

Properties
DFT total energy	-7.621	eV/atom
spin magnetization	0.00	μB per atom
space group	No. 123
V	247.3	Å³/cell

---

Entry 16:
# Tl2CdIn3

A geometry-optimized Tl2CdIn3 structure (PBE-GGA, the Alexandria database).

```
Tl2CdIn3
1.0
6.5482 0.0000 0.0000
0.0000 7.5029 0.0000
0.0000 -3.7514 7.4540
In Tl Cd
6 4 2
Cartesian
0.0000 3.7514 5.2770
3.2741 3.7514 5.2770
0.0000 3.7514 0.0000
0.0000 0.0000 2.1771
3.2741 3.7514 0.0000
3.2741 0.0000 2.1771
4.9111 -0.9493 4.7860
1.6370 0.9493 4.7860
1.6370 4.7007 2.6681
4.9111 2.8022 2.6681
4.9111 6.2489 0.0000
1.6370 1.2539 0.0000
```

Properties
DFT total energy	-2.204	eV/atom
spin magnetization	0.00	μB per atom
space group	No. 63
V	366.2	Å³/cell

---

Entry 17:
# Pm5In2AgIr2

A geometry-optimized Pm5In2AgIr2 structure (PBE-GGA, the Alexandria database).

```
Pm5In2AgIr2
1.0
3.7843 0.0000 0.0000
0.0000 11.9949 0.0000
0.0000 0.0000 11.9949
In Pm Ag Ir
4 10 2 4
Cartesian
0.0000 9.8705 8.1218
0.0000 3.8730 9.8705
0.0000 8.1218 2.1244
0.0000 2.1244 3.8730
1.8921 11.1071 2.4529
1.8921 0.0000 5.9974
1.8921 8.4503 5.1097
1.8921 3.5445 6.8852
1.8921 5.1097 3.5445
1.8921 6.8852 8.4503
1.8921 2.4529 0.8877
1.8921 0.8877 9.5420
1.8921 5.9974 0.0000
1.8921 9.5420 11.1071
0.0000 0.0000 0.0000
0.0000 5.9974 5.9974
0.0000 1.6036 7.6010
0.0000 4.3938 1.6036
0.0000 7.6010 10.3913
0.0000 10.3913 4.3938
```

Properties
DFT total energy	-5.476	eV/atom
spin magnetization	0.00	μB per atom
space group	No. 127
V	544.5	Å³/cell

---

Entry 18:
# La10ErTm4

A geometry-optimized La10ErTm4 structure (PBE-GGA, the Alexandria database).

```
La10ErTm4
1.0
7.3153 -3.3549 -5.3258
-0.7690 7.5422 5.9713
-0.6908 -7.1703 6.4220
Er La Tm
1 10 4
Cartesian
0.0000 0.0000 0.0000
3.1126 -1.0913 -0.8616
6.3751 0.9956 -0.5400
5.2767 2.1561 3.0712
2.7428 -1.8916 7.9291
3.8412 -3.0522 4.3180
0.9066 1.2328 6.3580
-0.5197 -3.9785 7.6074
0.5787 -5.1390 3.9963
4.9488 -4.2157 0.7095
2.0142 0.0692 2.7495
2.1710 3.2595 3.9369
5.1174 -1.0317 1.8933
0.7380 -1.9512 5.1742
3.6844 -6.2424 3.1306
```

Properties
DFT total energy	-4.156	eV/atom
spin magnetization	0.00	μB per atom
space group	No. 87
V	607.7	Å³/cell

---

Entry 19:
# HfSb3As

A geometry-optimized HfSb3As structure (PBE-GGA, the Alexandria database).

```
HfSb3As
1.0
5.4689 0.0000 0.0000
0.0000 5.4689 0.0000
0.0000 0.0000 5.4689
Sb Hf As
3 1 1
Cartesian
0.0000 0.0000 2.7345
2.7345 0.0000 0.0000
0.0000 2.7345 0.0000
0.0000 0.0000 0.0000
2.7345 2.7345 2.7345
```

Properties
spin magnetization	0.00	μB per atom
space group	No. 221
V	163.6	Å³/cell
energy relative to the elements, uncorrected	0.597	eV per atom

---

Entry 20:
# LiGa3C

A geometry-optimized LiGa3C structure (PBE-GGA, the Alexandria database).

```
LiGa3C
1.0
4.5146 0.0000 0.0000
0.0000 4.5146 0.0000
0.0000 0.0000 4.5146
Ga Li C
3 1 1
Cartesian
2.2573 0.0000 0.0000
0.0000 2.2573 0.0000
0.0000 0.0000 2.2573
0.0000 0.0000 0.0000
2.2573 2.2573 2.2573
```

Properties
DFT total energy	-2.616	eV/atom
spin magnetization	0.27	μB per atom
space group	No. 221
V	92.0	Å³/cell

---

Entry 21:
# PrCdPt

A geometry-optimized PrCdPt structure (PBE-GGA, the Alexandria database).

```
PrCdPt
1.0
4.0805 0.0000 0.0000
0.0000 7.8183 0.0000
0.0000 0.0000 13.5176
Pr Cd Pt
6 6 6
Cartesian
0.0000 6.0213 6.1094
0.0000 6.5382 10.1382
0.0000 1.7970 12.8682
0.0000 1.7970 7.4083
0.0000 6.0213 0.6495
0.0000 1.2801 3.3794
2.0403 4.3963 8.3458
2.0403 3.4220 1.5870
2.0403 3.4220 5.1719
2.0403 4.3963 11.9307
2.0403 1.5022 10.1382
2.0403 6.3162 3.3794
0.0000 3.4453 10.1382
2.0403 7.2962 12.2159
0.0000 4.3730 3.3794
2.0403 0.5221 5.4570
2.0403 0.5221 1.3018
2.0403 7.2962 8.0606
```

Properties
DFT total energy	-4.713	eV/atom
spin magnetization	0.00	μB per atom
space group	No. 51
V	431.3	Å³/cell

---

Entry 22:
# KMnCr

A geometry-optimized KMnCr structure (PBE-GGA, the Alexandria database).

```
KMnCr
1.0
5.4367 0.0000 0.0000
2.7183 4.7083 0.0000
2.7183 1.5694 4.4390
K Mn Cr
1 1 1
Cartesian
8.1550 4.7083 3.3293
0.0000 0.0000 0.0000
5.4367 3.1389 2.2195
```

Properties
DFT total energy	-4.696	eV/atom
spin magnetization	3.33	μB per atom
space group	No. 216
V	113.6	Å³/cell

---

Entry 23:
# TiI2NF

A geometry-optimized TiI2NF structure (PBE-GGA, the Alexandria database).

```
TiI2NF
1.0
5.5088 0.0000 0.0000
0.0000 5.5088 0.0000
0.0000 0.0000 3.6032
F Ti I N
1 1 2 1
Cartesian
0.0000 0.0000 0.0000
2.7544 2.7544 1.8016
2.7544 0.0000 0.0000
0.0000 2.7544 0.0000
0.0000 0.0000 1.8016
```

Properties
spin magnetization	0.40	μB per atom
space group	No. 123
V	109.3	Å³/cell
energy relative to the elements, uncorrected	1.031	eV per atom

---

Entry 24:
# PrHgCl2

A geometry-optimized PrHgCl2 structure (PBE-GGA, the Alexandria database).

```
PrHgCl2
1.0
3.8958 0.0000 0.0000
1.9479 3.3738 0.0000
1.9479 1.1246 11.5312
Hg Cl Pr
1 2 1
Cartesian
0.0000 0.0000 0.0000
1.9479 1.1246 7.5387
5.8437 3.3738 3.9926
3.8958 2.2492 5.7656
```

Properties
spin magnetization	0.00	μB per atom
space group	No. 166
V	151.6	Å³/cell
energy relative to the elements, uncorrected	-1.445	eV per atom